1.
Here is La2ZnSiN after structural relaxation from Alexandria. Energies are from GGA-PBE.

mass density	5.9	g cm⁻³
ΔE_f (raw)	-0.63	eV/atom
symmetry	P4/mmm (123)
crystal system	tetragonal

a = 5.089 Å, b = 5.089 Å, c = 4.169 Å
α = 90.00°, β = 90.00°, γ = 90.00°
Sites, in units of the cell vectors:
Zn 0.000 0.000 0.500
N 0.000 0.000 0.000
Si 0.500 0.500 0.500
La 0.000 0.500 0.000
La 0.500 0.000 0.000

***

2.
Here is Y2TiPt after structural relaxation from Alexandria. Energies are from GGA-PBE.

polymorph energy (0 for the lowest one)	229	meV per atom
E_form	-0.1274	eV per atom
mass density	7.0	g cm⁻³
symmetry	I-42d (122)
crystal system	tetragonal

a = 8.099 Å, b = 8.099 Å, c = 6.484 Å
α = 51.35°, β = 51.35°, γ = 90.00°
Sites, in units of the cell vectors:
Y 0.670 0.125 0.250
Y 0.080 0.625 0.250
Y 0.375 0.330 0.750
Y 0.875 0.920 0.750
Pt 0.000 0.000 0.000
Pt 0.750 0.250 0.500
Ti 0.500 0.500 0.000
Ti 0.250 0.750 0.500

***

3.
Here is Li5YCd4 after structural relaxation from Alexandria. Energies are from GGA-PBE.

E_form	-0.1693	eV per atom
mass density	4.8	g cm⁻³
symmetry	P4/mmm (123)
crystal system	tetragonal

a = 3.455 Å, b = 3.455 Å, c = 16.648 Å
α = 90.00°, β = 90.00°, γ = 90.00°
Sites, in units of the cell vectors:
Li 0.500 0.500 0.130
Li 0.500 0.500 0.310
Li 0.500 0.500 0.500
Li 0.500 0.500 0.690
Li 0.500 0.500 0.870
Y 0.000 0.000 0.000
Cd 0.000 0.000 0.211
Cd 0.000 0.000 0.404
Cd 0.000 0.000 0.596
Cd 0.000 0.000 0.789

***

4.
Here is CaPr2Pt after structural relaxation from Alexandria. Energies are from GGA-PBE.

polymorph energy (0 for the lowest one)	71	meV per atom
E_form	-0.4895	eV per atom
mass density	5.9	g cm⁻³
symmetry	R3m (160)
crystal system	trigonal

a = 4.229 Å, b = 4.229 Å, c = 9.766 Å
α = 77.50°, β = 77.50°, γ = 60.00°
Sites, in units of the cell vectors:
Ca 0.501 0.501 0.496
Pr 0.055 0.055 0.835
Pr 0.277 0.277 0.168
Pt 0.666 0.666 0.002

***

5.
Here is TiOF2 after structural relaxation from Alexandria. Energies are from GGA-PBE.

polymorph energy (0 for the lowest one)	19	meV per atom
mass density	2.9	g cm⁻³
ΔE_f (raw)	-3.18	eV/atom
symmetry	P4/mmm (123)
crystal system	tetragonal

a = 3.948 Å, b = 3.948 Å, c = 3.696 Å
α = 90.00°, β = 90.00°, γ = 90.00°
Sites, in units of the cell vectors:
F 0.500 0.000 0.000
F 0.000 0.500 0.000
O 0.000 0.000 0.500
Ti 0.000 0.000 0.000

***

6.
Here is Ca5MgHg6 after structural relaxation from Alexandria. Energies are from GGA-PBE.

E_form	-0.4993	eV per atom
mass density	7.5	g cm⁻³
symmetry	C2/m (12)
crystal system	monoclinic

a = 5.250 Å, b = 9.146 Å, c = 9.146 Å
α = 119.45°, β = 106.60°, γ = 106.60°
Sites, in units of the cell vectors:
Ca 0.500 0.167 0.833
Ca 0.000 0.333 0.667
Ca 0.500 0.500 0.500
Ca 0.000 0.667 0.333
Ca 0.500 0.833 0.167
Mg 0.000 0.000 0.000
Hg 0.243 0.081 0.406
Hg 0.757 0.594 0.919
Hg 0.744 0.243 0.243
Hg 0.256 0.757 0.757
Hg 0.243 0.406 0.081
Hg 0.757 0.919 0.594

***

7.
Here is Co5Ni4Rh after structural relaxation from Alexandria. Energies are from GGA-PBE.

E_form	0.0165	eV per atom
mass density	9.3	g cm⁻³
symmetry	P1 (1)
crystal system	triclinic

a = 4.359 Å, b = 6.174 Å, c = 5.636 Å
α = 68.59°, β = 58.99°, γ = 61.98°
Sites, in units of the cell vectors:
Co 0.206 0.694 0.948
Co 0.301 0.097 0.651
Co 0.003 0.898 0.557
Co 0.898 0.507 0.846
Co 0.508 0.895 0.042
Ni 0.696 0.697 0.455
Ni 0.596 0.300 0.746
Ni 0.389 0.508 0.352
Ni 0.093 0.305 0.252
Rh 0.800 0.099 0.150

***

8.
Here is CaSn2Mo after structural relaxation from Alexandria. Energies are from GGA-PBE.

polymorph energy (0 for the lowest one)	334	meV per atom
E_form	0.4473	eV per atom
mass density	5.0	g cm⁻³
symmetry	I-42d (122)
crystal system	tetragonal

a = 5.228 Å, b = 5.228 Å, c = 9.840 Å
α = 74.59°, β = 74.59°, γ = 90.00°
Sites, in units of the cell vectors:
Mo 0.000 0.000 0.000
Mo 0.750 0.250 0.500
Ca 0.500 0.500 0.000
Ca 0.250 0.750 0.500
Sn 0.746 0.125 0.250
Sn 0.004 0.625 0.250
Sn 0.375 0.254 0.750
Sn 0.875 0.996 0.750